[1]
Below is a geometry-optimized Ce6YS8 structure, with properties calculated at the PBE level.

## Properties
Theoretical density (g/cm3): 5.4
Uncorrected energy (eV/cell): -105.61
Raw formation energy (eV/atom): -2.035
Calculated volume (Å³ per atom): 24.43

a b c (Å): 8.032 8.032 8.032
angles (deg): 60.00 60.00 60.00
Fractional positions:
Ce1 0.000 0.000 0.500
Ce2 0.000 0.500 0.000
Ce3 0.000 0.500 0.500
Ce4 0.500 0.000 0.000
Ce5 0.500 0.000 0.500
Ce6 0.500 0.500 0.000
Y1 0.000 0.000 0.000
S1 0.245 0.245 0.755
S2 0.245 0.755 0.245
S3 0.245 0.755 0.755
S4 0.250 0.250 0.250
S5 0.750 0.750 0.750
S6 0.755 0.245 0.245
S7 0.755 0.245 0.755
S8 0.755 0.755 0.245



[2]
Below is a geometry-optimized CeY4S4 structure, with properties calculated at the PBE level.

## Properties
Theoretical density (g/cm3): 4.9
Uncorrected energy (eV/cell): -64.07
Raw formation energy (eV/atom): -1.752
Calculated volume (Å³ per atom): 23.57

a b c (Å): 6.785 6.785 6.785
angles (deg): 99.53 99.53 131.98
Fractional positions:
Ce1 0.000 0.000 0.000
Y1 0.198 0.396 0.594
Y2 0.396 0.802 0.198
Y3 0.604 0.198 0.802
Y4 0.802 0.604 0.406
S1 0.100 0.695 0.795
S2 0.305 0.100 0.405
S3 0.695 0.900 0.595
S4 0.900 0.305 0.205



[3]
Below is a geometry-optimized Ce4YS5 structure, with properties calculated at the PBE level.

## Properties
Theoretical density (g/cm3): 5.9
Uncorrected energy (eV/cell): -71.22
Raw formation energy (eV/atom): -2.038
Calculated volume (Å³ per atom): 22.60

a b c (Å): 6.925 6.925 6.925
angles (deg): 99.60 99.60 131.79
Fractional positions:
Ce1 0.099 0.699 0.798
Ce2 0.301 0.099 0.400
Ce3 0.699 0.901 0.600
Ce4 0.901 0.301 0.202
Y1 0.500 0.500 0.000
S1 0.000 0.000 0.000
S2 0.205 0.401 0.606
S3 0.401 0.795 0.195
S4 0.599 0.205 0.805
S5 0.795 0.599 0.394



[4]
Below is a geometry-optimized Ce2YZrS4 structure, with properties calculated at the PBE level.

## Properties
Theoretical density (g/cm3): 5.8
Uncorrected energy (eV/cell): -58.39
Raw formation energy (eV/atom): -1.875
Calculated volume (Å³ per atom): 21.13

a b c (Å): 6.737 3.931 6.777
angles (deg): 90.00 109.67 90.00
Fractional positions:
Ce1 0.000 0.000 0.000
Ce2 0.000 0.500 0.500
Y1 0.500 0.000 0.500
Zr1 0.500 0.500 0.000
S1 0.264 0.500 0.249
S2 0.268 0.000 0.762
S3 0.732 0.000 0.238
S4 0.736 0.500 0.751



[5]
Below is a geometry-optimized YbCeS3 structure, with properties calculated at the PBE level.

## Properties
Theoretical density (g/cm3): 5.8
Uncorrected energy (eV/cell): -58.94
Raw formation energy (eV/atom): -1.925
Calculated volume (Å³ per atom): 23.28

a b c (Å): 6.743 6.743 9.302
angles (deg): 90.00 90.00 146.61
Fractional positions:
Yb1 0.000 0.000 0.000
Yb2 0.000 0.000 0.500
Ce1 0.250 0.750 0.750
Ce2 0.750 0.250 0.250
S1 0.101 0.899 0.250
S2 0.353 0.647 0.070
S3 0.353 0.647 0.430
S4 0.647 0.353 0.570
S5 0.647 0.353 0.930
S6 0.899 0.101 0.750



[6]
Below is a geometry-optimized YbCe2S4 structure, with properties calculated at the PBE level.

## Properties
Theoretical density (g/cm3): 6.3
Uncorrected energy (eV/cell): -88.47
Raw formation energy (eV/atom): -2.047
Calculated volume (Å³ per atom): 21.88

a b c (Å): 7.356 7.356 7.356
angles (deg): 109.70 109.70 109.01
Fractional positions:
Yb1 0.000 0.000 0.000
Yb2 0.750 0.250 0.500
Ce1 0.248 0.125 0.623
Ce2 0.375 0.752 0.877
Ce3 0.502 0.625 0.377
Ce4 0.875 0.498 0.123
S1 0.123 0.375 0.895
S2 0.125 0.373 0.395
S3 0.270 0.875 0.248
S4 0.480 0.227 0.105
S5 0.625 0.520 0.748
S6 0.627 0.023 0.752
S7 0.773 0.877 0.252
S8 0.977 0.730 0.605



Copy entry 5 word for word.
Below is a geometry-optimized YbCeS3 structure, with properties calculated at the PBE level.

## Properties
Theoretical density (g/cm3): 5.8
Uncorrected energy (eV/cell): -58.94
Raw formation energy (eV/atom): -1.925
Calculated volume (Å³ per atom): 23.28

a b c (Å): 6.743 6.743 9.302
angles (deg): 90.00 90.00 146.61
Fractional positions:
Yb1 0.000 0.000 0.000
Yb2 0.000 0.000 0.500
Ce1 0.250 0.750 0.750
Ce2 0.750 0.250 0.250
S1 0.101 0.899 0.250
S2 0.353 0.647 0.070
S3 0.353 0.647 0.430
S4 0.647 0.353 0.570
S5 0.647 0.353 0.930
S6 0.899 0.101 0.750